Density functional theory data (PBE) for a relaxed Ho4InHg2 crystal.

The energy relative to the lowest polymorph listed for this composition is 0.000 eV per atom. Its final energy is -3.391 eV/atom. The calculation puts the density of states at the Fermi level at 22.6 states/eV/cell. Its formation enthalpy at 0 K is -28.69 kJ per mole of atoms.

It has space group R-3m (No. 166, hexagonal axes), with a = 5.1857 Å, b = 5.1857 Å, c = 25.0911 Å, α = 90.00°, β = 90.00° and γ = 120.00°. The inequivalent atoms are Ho at (0.0000, 0.0000, 0.1170), Ho at (0.0000, 0.0000, 0.3704), In at (0.0000, 0.0000, 0.5000) and Hg at (0.0000, 0.0000, 0.2483).

***

Density functional theory data (PBE) for a relaxed Ho8InHg2 crystal.

The energy relative to the lowest polymorph listed for this composition is 0.000 eV per atom. Its final energy is -3.815 eV/atom. The calculation puts the density of states at the Fermi level at 24.2 states/eV/cell. Its formation enthalpy at 0 K is -17.56 kJ per mole of atoms.

It has space group Immm (No. 71), with a = 5.010 Å, b = 8.380 Å, c = 14.818 Å, α = 90.00°, β = 90.00° and γ = 90.00°. The inequivalent atoms are Ho at (0.000, 0.000, 0.138), Ho at (0.000, 0.219, 0.338), Ho at (0.000, 0.309, 0.000), In at (0.000, 0.500, 0.500) and Hg at (0.000, 0.500, 0.198).

***

Density functional theory data (PBE) for a relaxed Ho12In2Hg5 crystal.

Its final energy is -3.401 eV/atom. The calculation puts the density of states at the Fermi level at 39.8 states/eV/cell. Its formation enthalpy at 0 K is -13.67 kJ per mole of atoms.

It has space group C2/m (No. 12), with a = 15.889 Å, b = 7.465 Å, c = 9.679 Å, α = 90.00°, β = 95.71° and γ = 90.00°. The inequivalent atoms are Ho at (0.021, 0.000, 0.300), Ho at (0.069, 0.500, 0.820), Ho at (0.143, 0.240, 0.558), Ho at (0.186, 0.256, 0.136), In at (0.000, 0.199, 0.000), Hg at (0.000, 0.500, 0.500), Hg at (0.157, 0.000, 0.864) and Hg at (0.223, 0.000, 0.362).